## NpTe2O8F (PBE)

Data for an optimized crystal structure of NpTe2O8F.

DFT total energy: -6.398 eV/atom
Spin magnetization: 0.000 μB/atom
Space-group type: P-1, No. 2
Crystal system: triclinic
Fermi-level density of states: 2.8 states/eV/f.u.
ρ: 6.5 g/cm³

Structure (POSCAR):
```
NpTe2O8F
1.0
5.132 0.000 0.000
-1.093 5.504 0.000
-2.123 -1.970 5.806
Np Te O F
1 2 8 1
Cartesian
0.000 0.000 0.000 Np
0.353 0.620 4.079 Te
1.563 2.914 1.726 Te
-1.774 2.934 4.945 O
-0.978 -0.017 5.604 O
0.067 3.956 1.546 O
0.834 1.030 1.993 O
1.083 2.504 3.812 O
1.849 -0.422 4.260 O
2.894 3.551 0.202 O
3.691 0.600 0.860 O
-1.062 -0.985 2.903 F
```

---

## NpTl2O4F2 (PBE)

Data for an optimized crystal structure of NpTl2O4F2.

DFT total energy: -6.472 eV/atom
Spin magnetization: 0.118 μB/atom
Space-group type: I4/mmm, No. 139
Crystal system: tetragonal
Fermi-level density of states: 6.1 states/eV/f.u.
ρ: 7.0 g/cm³

Structure (POSCAR):
```
NpTl2O4F2
1.0
-2.997 2.997 4.966
2.997 -2.997 4.966
2.997 2.997 -4.966
Np Tl O F
1 2 4 2
Cartesian
0.000 0.000 0.000 Np
2.997 0.000 2.483 Tl
0.000 2.997 2.483 Tl
1.326 1.326 0.000 O
1.670 -1.670 4.966 O
-1.670 1.670 4.966 O
1.670 1.670 4.966 O
0.000 0.000 2.267 F
0.000 0.000 7.665 F
```

---

## NpTlO3F (PBE)

Data for an optimized crystal structure of NpTlO3F.

DFT total energy: -7.621 eV/atom
Spin magnetization: 0.167 μB/atom
Space-group type: C2/c, No. 15
Crystal system: monoclinic
Fermi-level density of states: 0.3 states/eV/f.u.
ρ: 6.5 g/cm³

Structure (POSCAR):
```
NpTlO3F
1.0
3.084 -10.056 0.000
3.084 10.056 0.000
-1.973 0.000 4.167
Np Tl O F
2 2 6 2
Cartesian
1.604 6.103 3.125 Np
2.591 -6.103 1.042 Np
1.604 1.735 3.125 Tl
2.591 -1.735 1.042 Tl
1.604 8.012 3.125 O
1.258 3.969 1.842 O
3.924 3.969 0.242 O
0.272 -3.969 3.925 O
2.937 -3.969 2.325 O
2.591 -8.012 1.042 O
2.591 6.363 1.042 F
1.604 -6.363 3.125 F
```

---

## NpTl3O6F2 (PBE)

Data for an optimized crystal structure of NpTl3O6F2.

DFT total energy: -6.042 eV/atom
Spin magnetization: 0.000 μB/atom
Space-group type: C2/m, No. 12
Crystal system: monoclinic
ρ: 6.6 g/cm³

Structure (POSCAR):
```
NpTl3O6F2
1.0
6.136 -3.369 0.000
6.136 3.369 0.000
-0.053 0.000 5.988
Np Tl O F
1 3 6 2
Cartesian
0.000 0.000 0.000 Np
3.068 1.685 0.000 Tl
3.068 -1.685 0.000 Tl
6.109 0.000 2.994 Tl
5.343 2.013 1.076 O
2.301 0.000 1.039 O
6.875 2.013 4.912 O
5.343 -2.013 1.076 O
9.918 0.000 4.949 O
6.875 -2.013 4.912 O
3.925 0.000 4.666 F
8.293 0.000 1.322 F
```

---

- spin magnetization of number 1 (NpTe2O8F)?
  0.000 μB/atom